1.
A relaxed BaLu2Mo crystal, computed with PBE.

Results
**Total magnetic moment**: 0.538 Bohr magnetons per cell
**Space-group type**: F-43m, No. 216

Geometry as POSCAR:
```
BaLu2Mo
1.0
0.000 3.784 3.784
3.784 0.000 3.784
3.784 3.784 0.000
Ba Lu Mo
1 2 1
direct
0.000 0.000 0.000
0.500 0.500 0.500
0.750 0.750 0.750
0.250 0.250 0.250
```

=====

2.
A relaxed ScHgBi2 crystal, computed with PBE.

Results
**Total magnetic moment**: 0.004 Bohr magnetons per cell
**Space-group type**: F-43m, No. 216

Geometry as POSCAR:
```
ScHgBi2
1.0
0.000 3.799 3.799
3.799 0.000 3.799
3.799 3.799 0.000
Sc Hg Bi
1 1 2
direct
0.000 0.000 0.000
0.750 0.750 0.750
0.250 0.250 0.250
0.500 0.500 0.500
```

=====

3.
A relaxed Ag10Hg crystal, computed with PBE.

Results
**Space-group type**: C2/m, No. 12
**Formation energy**: 0.0660 eV per atom

Geometry as POSCAR:
```
Ag10Hg
1.0
4.604 -2.020 0.000
4.604 2.020 0.000
-0.256 0.000 30.242
Ag Hg
20 2
direct
0.048 0.048 0.202
0.050 0.050 0.891
0.149 0.149 0.297
0.150 0.150 0.984
0.250 0.250 0.077
0.254 0.254 0.767
0.349 0.349 0.171
0.351 0.351 0.861
0.450 0.450 0.265
0.450 0.450 0.954
0.550 0.550 0.046
0.550 0.550 0.735
0.649 0.649 0.139
0.651 0.651 0.829
0.746 0.746 0.233
0.750 0.750 0.923
0.850 0.850 0.016
0.851 0.851 0.703
0.950 0.950 0.109
0.952 0.952 0.798
0.149 0.149 0.668
0.851 0.851 0.332
```

=====

| no. | uncorrected energy (eV per atom) | volume (Å³ per cell) |
| --- | --- | --- |
| 1 | -4.64 | 108 |
| 2 | -3.74 | 110 |
| 3 | -2.53 | 562 |